(P)
## AlPBr2 (GGA-PBE)

Data for an optimized crystal structure of AlPBr2.

a = 4.1340 Å, b = 4.8640 Å, c = 4.8607 Å
α = 84.40°, β = 90.00°, γ = 90.00°
Closest atoms and distances in Å follow each position.
Element x y z (fractional)
P  0.5000  0.2500  0.2500  4 Br 2.75
Al  0.5000  0.7500  0.7500  4 Br 2.74
Br  0.0000  0.9993  0.9993  2 Al 2.74, 2 P 2.75
Br  0.0000  0.5007  0.5007  2 Al 2.74, 2 P 2.75

---

(Q)
## AlPBr2 (GGA-PBE)

Data for an optimized crystal structure of AlPBr2.

a = 5.1009 Å, b = 5.0133 Å, c = 5.1003 Å
α = 65.85°, β = 78.71°, γ = 114.15°
Closest atoms and distances in Å follow each position.
Element x y z (fractional)
P  0.0000  0.5000  0.5000  4 Br 2.75
Al  0.5000  0.5000  0.0000  4 Br 2.75
Br  0.0000  0.0000  0.0000  2 P 2.75, 2 Al 2.75
Br  0.5000  0.0000  0.5000  2 Al 2.75, 2 P 2.75

---

(R)
## AlPBr2 (GGA-PBE)

Data for an optimized crystal structure of AlPBr2.

a = 7.0020 Å, b = 7.0020 Å, c = 7.0020 Å
α = 147.63°, β = 147.63°, γ = 46.44°
Closest atoms and distances in Å follow each position.
Element x y z (fractional)
P  0.5000  0.5000  0.0000  4 Br 2.76
Al  0.7500  0.2500  0.5000  4 Br 2.76
Br  0.0000  0.0000  0.0000  4 P 2.76
Br  0.2500  0.7500  0.5000  4 Al 2.76

---

Computed relative energies in units of eV/atom: (P) 0.013; (Q) 0.000; (R) 0.121

---

(P)
## AlPBr2 (GGA-PBE)

Data for an optimized crystal structure of AlPBr2.

a = 3.2616 Å, b = 3.2616 Å, c = 9.1930 Å
α = 90.00°, β = 90.00°, γ = 90.00°
Closest atoms and distances in Å follow each position.
Element x y z (fractional)
P  0.5000  0.5000  0.2500  4 P 3.26
Al  0.5000  0.5000  0.7500  8 Br 2.85
Br  0.0000  0.0000  0.9312  4 Al 2.85
Br  0.0000  0.0000  0.5688  4 Al 2.85

---

(Q)
## AlPBr2 (GGA-PBE)

Data for an optimized crystal structure of AlPBr2.

a = 4.0131 Å, b = 4.0131 Å, c = 8.6022 Å
α = 89.01°, β = 89.01°, γ = 60.07°
Closest atoms and distances in Å follow each position.
Element x y z (fractional)
P  0.5446  0.5446  0.4185  1 Br 2.24, 3 Al 2.43
Al  0.2132  0.2132  0.3334  1 Br 2.28, 3 P 2.43
Br  0.2111  0.2111  0.0687  1 Al 2.28
Br  0.5311  0.5311  0.6793  1 P 2.24

---

Computed relative energies in units of eV/atom: (P) 1.063; (Q) 0.000

---

(P)
## AlPBr2 (GGA-PBE)

Data for an optimized crystal structure of AlPBr2.

a = 5.0166 Å, b = 5.0166 Å, c = 5.0166 Å
α = 60.00°, β = 60.00°, γ = 60.00°
Closest atoms and distances in Å follow each position.
Element x y z (fractional)
P  0.5000  0.5000  0.5000  8 Br 3.07
Al  0.0000  0.0000  0.0000  8 Br 3.07
Br  0.2500  0.2500  0.2500  4 Al 3.07, 4 P 3.07
Br  0.7500  0.7500  0.7500  4 Al 3.07, 4 P 3.07

---

(Q)
## AlPBr2 (GGA-PBE)

Data for an optimized crystal structure of AlPBr2.

a = 9.2438 Å, b = 9.2438 Å, c = 3.7122 Å
α = 66.91°, β = 66.91°, γ = 21.39°
Closest atoms and distances in Å follow each position.
Element x y z (fractional)
P  0.7500  0.7500  0.7500  2 Br 2.51, 4 Al 2.53
Al  0.2500  0.2500  0.2500  4 P 2.53
Br  0.8889  0.8889  0.2169  1 P 2.51
Br  0.6111  0.6111  0.2831  1 P 2.51

---

Computed relative energies in units of eV/atom: (P) 0.851; (Q) 0.000